No. 1
First-principles (GGA-PBE) data for a geometry-optimized GdLuPuTh structure, as listed in the Alexandria database.

```
GdLuPuTh
1.0
5.5566 0.0000 0.0000
2.7783 4.8121 0.0000
2.7783 1.6040 4.5369
Gd Lu Th Pu
1 1 1 1
Direct
0.5000 0.5000 0.5000
0.2500 0.2500 0.2500
0.7500 0.7500 0.7500
0.0000 0.0000 0.0000
```

Computed properties:
Space group = F-43m
DFT total energy = -9.894 eV/atom

No. 2
First-principles (GGA-PBE) data for a geometry-optimized GdLuRe4 structure, as listed in the Alexandria database.

```
GdLuRe4
1.0
5.4085 0.0000 0.0000
2.7043 4.6839 0.0000
2.7043 1.5613 4.4160
Gd Re Lu
1 4 1
Direct
0.2500 0.2500 0.2500
0.6251 0.6251 0.1247
0.6251 0.1247 0.6251
0.6251 0.6251 0.6251
0.1247 0.6251 0.6251
0.0000 0.0000 0.0000
```

Computed properties:
Space group = F-43m
DFT total energy = -11.578 eV/atom

No. 3
First-principles (GGA-PBE) data for a geometry-optimized GdLuRh4 structure, as listed in the Alexandria database.

```
GdLuRh4
1.0
-0.3649 -0.1704 5.3198
-1.9861 -4.3309 2.4002
3.2156 -3.2128 2.7928
Rh Gd Lu
4 1 1
Direct
0.6252 0.6252 0.1244
0.6252 0.1244 0.6252
0.6252 0.6252 0.6252
0.1244 0.6252 0.6252
0.2500 0.2500 0.2500
0.0000 0.0000 0.0000
```

Computed properties:
Space group = F-43m
DFT total energy = -8.739 eV/atom

No. 4
First-principles (GGA-PBE) data for a geometry-optimized GdLuRh structure, as listed in the Alexandria database.

```
GdLuRh
1.0
4.7832 0.0000 0.0000
2.3916 4.1424 0.0000
2.3916 1.3808 3.9055
Gd Lu Rh
1 1 1
Direct
0.0000 0.0000 0.0000
0.5000 0.5000 0.5000
0.2500 0.2500 0.2500
```

Computed properties:
Space group = F-43m
DFT total energy = -9.248 eV/atom

No. 5
First-principles (GGA-PBE) data for a geometry-optimized GdLuRh structure, as listed in the Alexandria database.

```
GdLuRh
1.0
4.1954 0.0000 0.0000
0.0000 4.5024 0.0000
0.0000 -2.2512 3.8992
Gd Lu Rh
1 1 1
Direct
0.7272 0.6667 0.3333
0.2473 0.3333 0.6667
0.0256 0.0000 0.0000
```

Computed properties:
Space group = P3m1
DFT total energy = -9.072 eV/atom

No. 6
First-principles (GGA-PBE) data for a geometry-optimized GdLuRh structure, as listed in the Alexandria database.

```
GdLuRh
1.0
-2.9357 1.4656 1.0001
-0.6778 -2.7132 1.9864
4.7897 3.3569 3.2578
Gd Lu Rh
1 1 1
Direct
0.0316 0.0316 0.0632
0.2956 0.2956 0.5912
0.6728 0.6728 0.3456
```

Computed properties:
Space group = I4mm
DFT total energy = -9.231 eV/atom

Number 1: ΔE_f 0.8 eV/f.u.. Number 2: ΔE_f -1.1 eV/f.u.. Number 3: ΔE_f -4.4 eV/f.u.. Number 4: ΔE_f -1.8 eV/f.u.. Number 5: ΔE_f -1.3 eV/f.u.. Number 6: ΔE_f -1.7 eV/f.u..